No. 1
Below is crystalline TbZn3Au4 at its relaxed geometry, with properties calculated at the PBE level.

Calculated values
The density of states at the Fermi level is 7.8 states/eV/cell. The formation energy is -9.75 kcal/mol of atoms.

abc: 4.5127 4.5127 25.1368
angles: 90.00 90.00 120.00
Last column: nearest neighbours and their distance in Å.
Space group R-3m (No. 166, hexagonal axes)
Asymmetric unit:
Tb (0.0000, 0.0000, 0.0000) [3 per cell]  8 Au 3.02-3.27
Zn (0.0000, 0.0000, 0.2468) [6 per cell]  7 Au 2.69-2.93
Zn (0.0000, 0.0000, 0.5000) [3 per cell]  8 Au 2.66-2.76
Au (0.0000, 0.0000, 0.1302) [6 per cell]  7 Zn 2.76-2.93
Au (0.0000, 0.0000, 0.3940) [6 per cell]  4 Zn 2.66-2.69



No. 2
Below is crystalline TbZn3Au at its relaxed geometry, with properties calculated at the PBE level.

Calculated values
The value obtained for the distance to the lowest polymorph of the same formula is 0 meV/atom. The density of states at the Fermi level is 3.8 states/eV/cell. The formation energy is -9.85 kcal/mol of atoms.

abc: 5.6065 5.3647 6.1738
angles: 90.00 91.13 90.00
Last column: nearest neighbours and their distance in Å.
Space group P2_1/m (No. 11)
Asymmetric unit:
Tb (0.1552, 0.2500, 0.1660) [2 per cell]  4 Au 3.00-3.09, 7 Zn 3.04-3.33
Zn (0.0634, 0.7500, 0.3868) [2 per cell]  4 Zn 2.67-2.68, 1 Au 2.68
Zn (0.3485, 0.0050, 0.6611) [4 per cell]  5 Zn 2.63-2.74, 2 Au 2.72-2.80
Au (0.3482, 0.7500, 0.0424) [2 per cell]  5 Zn 2.68-2.80, 2 Tb 3.00



No. 3
Below is crystalline Tb2Zn3Au5 at its relaxed geometry, with properties calculated at the PBE level.

Calculated values
The value obtained for the distance to the lowest polymorph of the same formula is 41 meV/atom. The density of states at the Fermi level is 18.3 states/eV/cell. The formation energy is -11.74 kcal/mol of atoms.

abc: 10.3978 13.4407 5.6800
angles: 90.00 90.00 90.00
Last column: nearest neighbours and their distance in Å.
Space group Ibam (No. 72)
Asymmetric unit:
Tb (0.2196, 0.1469, 0.0000) [8 per cell]  9 Au 3.11-3.39, 4 Zn 3.16-3.37
Zn (0.0000, 0.5000, 0.2500) [4 per cell]  6 Au 2.66-2.69, 2 Zn 2.84
Zn (0.0857, 0.1528, 0.5000) [8 per cell]  5 Au 2.53-2.65
Au (0.0000, 0.0000, 0.2500) [4 per cell]  4 Zn 2.65, 2 Au 2.84
Au (0.0000, 0.2999, 0.2500) [8 per cell]  3 Zn 2.59-2.69, 2 Au 2.84
Au (0.1934, 0.4255, 0.0000) [8 per cell]  3 Zn 2.53-2.66



No. 4
Below is crystalline Tb2Zn16Au at its relaxed geometry, with properties calculated at the PBE level.

Calculated values
The density of states at the Fermi level is 16.2 states/eV/cell. The formation energy is -6.10 kcal/mol of atoms.

abc: 9.0002 9.0002 13.2174
angles: 90.00 90.00 120.00
Last column: nearest neighbours and their distance in Å.
Space group R3m (No. 160, hexagonal axes)
Asymmetric unit:
Tb (0.0000, 0.0000, 0.0000) [3 per cell]  1 Au 3.09, 18 Zn 3.17-3.45
Tb (0.0000, 0.0000, 0.3274) [3 per cell]  19 Zn 3.09-3.44
Zn (0.0000, 0.0000, 0.5608) [3 per cell]  12 Zn 2.71-3.00, 1 Au 2.71
Zn (0.0004, 0.2973, 0.6639) [18 per cell]  8 Zn 2.59-2.77
Zn (0.0033, 0.5016, 0.1636) [9 per cell]  9 Zn 2.59-2.71, 1 Au 2.76
Zn (0.0112, 0.5056, 0.8156) [9 per cell]  8 Zn 2.54-2.77
Zn (0.1720, 0.3440, 0.8446) [9 per cell]  8 Zn 2.54-2.76
Au (0.0000, 0.0000, 0.7660) [3 per cell]  13 Zn 2.71-3.00



No. 5
Below is crystalline TbZn3Au at its relaxed geometry, with properties calculated at the PBE level.

Calculated values
The value obtained for the distance to the lowest polymorph of the same formula is 23 meV/atom. The density of states at the Fermi level is 4.5 states/eV/cell. The formation energy is -9.32 kcal/mol of atoms.

abc: 7.7819 6.2163 4.7239
angles: 90.00 126.16 90.00
Last column: nearest neighbours and their distance in Å.
Space group Cm (No. 8)
Asymmetric unit:
Tb (0.0000, 0.0000, 0.0000) [2 per cell]  10 Zn 3.01-3.36, 4 Au 3.01-3.35
Zn (0.2032, 0.5000, 0.2106) [2 per cell]  1 Au 2.53, 2 Zn 2.63
Zn (0.4947, 0.1969, 0.4939) [4 per cell]  2 Zn 2.45-2.63, 1 Au 2.69
Au (0.3006, 0.0000, 0.7957) [2 per cell]  3 Zn 2.53-2.69



No. 6
Below is crystalline Tb2ZnAu2 at its relaxed geometry, with properties calculated at the PBE level.

Calculated values
The density of states at the Fermi level is 14.4 states/eV/cell. The formation energy is -14.03 kcal/mol of atoms.

abc: 4.0022 16.7330 7.3125
angles: 90.00 90.00 90.00
Last column: nearest neighbours and their distance in Å.
Space group Cmc2_1 (No. 36)
Asymmetric unit:
Tb (0.0000, 0.0316, 0.0000) [4 per cell]  5 Au 2.91-3.03, 2 Zn 3.15
Tb (0.0000, 0.1977, 0.4135) [4 per cell]  5 Au 2.87-3.03
Zn (0.0000, 0.4077, 0.1739) [4 per cell]  4 Au 2.69-2.88
Au (0.0000, 0.1835, 0.8050) [4 per cell]  2 Zn 2.69, 4 Tb 2.87-2.93
Au (0.0000, 0.4286, 0.7960) [4 per cell]  2 Zn 2.79-2.88, 6 Tb 3.02-3.03



No. 7
Below is crystalline Tb2Zn3Au at its relaxed geometry, with properties calculated at the PBE level.

Calculated values
The value obtained for the distance to the lowest polymorph of the same formula is 0 meV/atom. The density of states at the Fermi level is 35.0 states/eV/cell. The formation energy is -12.06 kcal/mol of atoms.

abc: 6.9962 9.0265 15.7603
angles: 90.00 90.00 90.00
Last column: nearest neighbours and their distance in Å.
Space group Fmmm (No. 69)
Asymmetric unit:
Tb (0.2440, 0.0000, 0.0000) [8 per cell]  10 Zn 3.12-3.14, 2 Au 3.14, 1 Tb 3.41
Tb (0.2500, 0.2500, 0.2500) [8 per cell]  4 Au 3.14, 8 Zn 3.17-3.18, 2 Tb 3.50
Zn (0.0000, 0.0000, 0.3370) [8 per cell]  2 Zn 2.56, 1 Au 2.67
Zn (0.0000, 0.2452, 0.4185) [16 per cell]  2 Zn 2.56-2.57, 1 Au 2.67
Au (0.0000, 0.0000, 0.1676) [8 per cell]  3 Zn 2.67



No. 8
Below is crystalline Tb2Zn6Au3 at its relaxed geometry, with properties calculated at the PBE level.

Calculated values
The density of states at the Fermi level is 7.2 states/eV/cell. The formation energy is -9.46 kcal/mol of atoms.

abc: 7.7184 7.7184 4.1270
angles: 90.00 90.00 120.00
Last column: nearest neighbours and their distance in Å.
Space group P-62m (No. 189)
Asymmetric unit:
Tb (0.3333, 0.6667, 0.0000) [2 per cell]  6 Au 3.13, 3 Zn 3.26
Zn (0.0000, 0.2641, 0.5000) [3 per cell]  3 Au 2.57-2.74, 4 Zn 2.75
Zn (0.0000, 0.8085, 0.0000) [3 per cell]  6 Zn 2.56-2.75, 2 Au 2.63
Au (0.0000, 0.5967, 0.5000) [3 per cell]  5 Zn 2.57-2.74



No. 9
Below is crystalline TbZn3Au2 at its relaxed geometry, with properties calculated at the PBE level.

Calculated values
The density of states at the Fermi level is 6.1 states/eV/cell. The formation energy is -10.55 kcal/mol of atoms.

abc: 16.7451 4.1440 6.7184
angles: 90.00 108.19 90.00
Last column: nearest neighbours and their distance in Å.
Space group C2/m (No. 12)
Asymmetric unit:
Tb (0.1127, 0.0000, 0.1489) [4 per cell]  6 Zn 3.03-3.37, 6 Au 3.12-3.15
Zn (0.0738, 0.0000, 0.6341) [4 per cell]  3 Zn 2.56-2.63, 3 Au 2.65-2.70
Zn (0.1359, 0.5000, 0.4921) [4 per cell]  3 Zn 2.62-2.63, 4 Au 2.68-2.75
Zn (0.1933, 0.5000, 0.9029) [4 per cell]  3 Zn 2.62-2.84, 4 Au 2.66-2.80
Au (0.0188, 0.5000, 0.8004) [4 per cell]  4 Zn 2.65-2.78, 1 Au 2.94
Au (0.2397, 0.0000, 0.6814) [4 per cell]  7 Zn 2.66-2.80



No. 10
Below is crystalline Tb2ZnAu3 at its relaxed geometry, with properties calculated at the PBE level.

Calculated values
The density of states at the Fermi level is 33.9 states/eV/cell. The formation energy is -16.83 kcal/mol of atoms.

abc: 6.8759 9.3580 16.0473
angles: 90.00 90.00 90.00
Last column: nearest neighbours and their distance in Å.
Space group Fmmm (No. 69)
Asymmetric unit:
Tb (0.2467, 0.0000, 0.0000) [8 per cell]  10 Au 3.16-3.28, 2 Zn 3.20, 2 Tb 3.39-3.48
Tb (0.2500, 0.2500, 0.2500) [8 per cell]  8 Au 3.14-3.17, 4 Zn 3.19, 2 Tb 3.44
Zn (0.0000, 0.0000, 0.3329) [8 per cell]  3 Au 2.59
Au (0.0000, 0.0000, 0.1714) [8 per cell]  1 Zn 2.59, 2 Au 2.79
Au (0.0000, 0.2394, 0.4133) [16 per cell]  1 Zn 2.59, 2 Au 2.78-2.79



No. 11
Below is crystalline Tb7Zn2Au2 at its relaxed geometry, with properties calculated at the PBE level.

Calculated values
The density of states at the Fermi level is 26.2 states/eV/cell. The formation energy is -3.74 kcal/mol of atoms.

abc: 7.4673 10.7582 7.6356
angles: 90.00 90.00 90.00
Last column: nearest neighbours and their distance in Å.
Space group Cmmm (No. 65)
Asymmetric unit:
Tb (0.0000, 0.0000, 0.0000) [2 per cell]  2 Zn 3.15
Tb (0.0000, 0.5000, 0.2618) [4 per cell]  2 Au 2.95, 2 Zn 3.00, 4 Tb 3.28
Tb (0.2500, 0.2500, 0.2831) [8 per cell]  2 Zn 2.89, 2 Au 3.19
Zn (0.0000, 0.2925, 0.0000) [4 per cell]  7 Tb 2.89-3.15
Au (0.1887, 0.0000, 0.5000) [4 per cell]  1 Au 2.82, 2 Tb 2.95



No. 12
Below is crystalline TbZrZnAu at its relaxed geometry, with properties calculated at the PBE level.

Calculated values
The density of states at the Fermi level is 15.8 states/eV/cell. The formation energy is -8.99 kcal/mol of atoms.

abc: 7.0098 7.0098 7.0098
angles: 90.00 90.00 90.00
Last column: nearest neighbours and their distance in Å.
Space group F-43m (No. 216)
Asymmetric unit:
Tb (0.0000, 0.0000, 0.0000) [4 per cell]  4 Zn 3.04, 4 Au 3.04
Zr (0.0000, 0.0000, 0.5000) [4 per cell]  4 Zn 3.04, 4 Au 3.04
Zn (0.2500, 0.2500, 0.2500) [4 per cell]  4 Zr 3.04, 4 Tb 3.04
Au (0.2500, 0.2500, 0.7500) [4 per cell]  4 Zr 3.04, 4 Tb 3.04